(1)
4
Lattice="3.033 0.000 0.000 0.000 4.431 0.000 -1.242 0.000 6.095" Properties=species:S:1:pos:R:3 comment="Zr2CdMo, optimized geometry, DFT GGA-PBE" sg="P2/m, No. 10" dft_energy_ev_per_atom=-7.175 delta_e_f_ev_per_atom=0.035 pbc="T T T"
Zr 0.012 0.000 1.654
Zr 1.779 0.000 4.441
Cd 1.516 2.215 0.000
Mo 0.896 2.215 3.047

=====

(2)
10
Lattice="4.236 0.000 0.000 0.000 4.236 0.000 0.000 0.000 9.975" Properties=species:S:1:pos:R:3 comment="Ac2NiP3Ir4, optimized geometry, DFT GGA-PBE" sg="P-4m2, No. 115" dft_energy_ev_per_atom=-7.342 delta_e_f_ev_per_atom=-0.775 pbc="T T T"
Ac 0.000 2.118 2.397
Ac 2.118 0.000 7.579
Ni 2.118 2.118 0.000
P 0.000 0.000 0.000
P 0.000 2.118 6.345
P 2.118 0.000 3.630
Ir 0.000 0.000 4.988
Ir 0.000 2.118 8.727
Ir 2.118 0.000 1.248
Ir 2.118 2.118 4.988

=====

(3)
22
Lattice="3.408 -5.277 0.000 3.408 5.277 0.000 -0.141 0.000 7.574" Properties=species:S:1:pos:R:3 comment="Sm2Re3B6, optimized geometry, DFT GGA-PBE" sg="C2/c, No. 15" dft_energy_ev_per_atom=-8.383 delta_e_f_ev_per_atom=-0.487 pbc="T T T"
Sm 1.546 1.822 1.329
Sm 1.475 -1.822 5.116
Sm 5.200 1.822 2.458
Sm 5.129 -1.822 6.245
Re 3.373 4.367 1.894
Re 2.631 0.970 4.455
Re 2.702 -0.970 0.668
Re 3.973 0.970 6.906
Re 4.044 -0.970 3.119
Re 3.302 -4.367 5.681
B 0.644 0.485 3.528
B 2.471 3.024 3.634
B 0.573 -0.485 7.315
B 1.926 0.495 6.578
B 4.274 3.024 0.153
B 1.997 -0.495 2.791
B 4.678 0.495 4.783
B 2.400 -3.024 7.421
B 4.748 -0.495 0.996
B 6.101 0.485 0.260
B 4.204 -3.024 3.940
B 6.030 -0.485 4.047

=====

(4)
18
Lattice="4.133 2.386 6.945 -4.133 2.386 6.945 0.000 -4.772 6.945" Properties=species:S:1:pos:R:3 comment="Al3Tl2Ga12Ag, optimized geometry, DFT GGA-PBE" sg="R-3m, No. 166" dft_energy_ev_per_atom=-2.839 delta_e_f_ev_per_atom=0.224 pbc="T T T"
Al -2.067 -1.193 6.945
Al -2.067 1.193 13.889
Al 0.000 2.386 6.945
Tl 0.000 0.000 2.674
Tl 0.000 0.000 18.160
Ga 0.000 -2.585 6.027
Ga -2.239 1.292 6.027
Ga -2.166 -1.251 9.567
Ga -2.239 -1.292 14.807
Ga 0.000 -2.502 11.267
Ga -2.166 1.251 11.267
Ga 2.166 -1.251 9.567
Ga 0.000 2.502 9.567
Ga 2.239 1.292 6.027
Ga 2.166 1.251 11.267
Ga 2.239 -1.292 14.807
Ga 0.000 2.585 14.807
Ag 0.000 0.000 10.417

=====

(5)
8
Lattice="-2.903 2.903 4.946 2.903 -2.903 4.946 2.903 2.903 -4.946" Properties=species:S:1:pos:R:3 comment="ZnOs2Se, optimized geometry, DFT GGA-PBE" sg="I-42d, No. 122" e_above_lowest_polymorph_ev_per_fu=3.93 dft_energy_ev_per_atom=-5.505 formation_energy_uncorrected_kj_per_mol_fu=502 pbc="T T T"
Zn 0.000 0.000 0.000
Zn 0.000 2.903 2.473
Os 1.452 -1.342 3.709
Os 1.561 1.452 1.236
Os 1.452 4.245 -1.236
Os 1.342 1.452 6.182
Se 2.903 0.000 2.473
Se 0.000 0.000 4.946

=====

(6)
5
Lattice="4.823 0.000 0.000 0.000 4.823 0.000 0.000 0.000 3.554" Properties=species:S:1:pos:R:3 comment="HfMgRu2O, optimized geometry, DFT GGA-PBE" sg="P4/mmm, No. 123" dft_energy_ev_per_atom=-6.528 formation_energy_uncorrected_kj_per_mol_fu=233 pbc="T T T"
Hf 0.000 0.000 0.000
Mg 2.411 2.411 1.777
Ru 0.000 2.411 1.777
Ru 2.411 0.000 1.777
O 2.411 2.411 0.000

=====

(7)
8
Lattice="-3.266 3.266 2.358 3.266 -3.266 2.358 3.266 3.266 -2.358" Properties=species:S:1:pos:R:3 comment="LiCo2Cu, optimized geometry, DFT GGA-PBE" sg="I-42d, No. 122" dft_energy_ev_per_atom=-4.496 delta_e_f_ev_per_atom=0.559 pbc="T T T"
Li 0.000 0.000 0.000
Li 0.000 3.266 1.179
Co 1.633 -1.602 1.768
Co 1.664 1.633 0.589
Co 1.633 4.868 -0.589
Co 1.602 1.633 2.947
Cu 3.266 0.000 1.179
Cu 0.000 0.000 2.358

=====

(8)
3
Lattice="4.470 0.000 0.000 0.000 2.941 0.000 -0.208 0.000 4.503" Properties=species:S:1:pos:R:3 comment="InPdRh, optimized geometry, DFT GGA-PBE" sg="P2/m, No. 10" e_above_lowest_polymorph_ev_per_fu=0.63 dft_energy_ev_per_atom=-5.133 delta_e_f_ev_per_atom=-0.039 pbc="T T T"
In 0.000 0.000 0.000
Pd 2.131 0.000 2.251
Rh 2.235 1.470 0.000

=====

(9)
4
Lattice="2.995 -1.721 0.000 2.995 1.721 0.000 -1.935 0.000 4.542" Properties=species:S:1:pos:R:3 comment="SiB, optimized geometry, DFT GGA-PBE" sg="C2/m, No. 12" e_above_lowest_polymorph_ev_per_fu=0.00 dft_energy_ev_per_atom=-5.850 formation_energy_uncorrected_kj_per_mol_fu=39 pbc="T T T"
Si 0.636 0.000 1.057
Si 3.419 0.000 3.485
B -0.550 0.000 3.076
B 4.605 0.000 1.466

=====

(10)
5
Lattice="4.576 0.000 0.000 0.000 4.576 0.000 0.000 0.000 4.576" Properties=species:S:1:pos:R:3 comment="Ni3TeW, optimized geometry, DFT GGA-PBE" sg="Pm-3m, No. 221" e_above_lowest_polymorph_ev_per_fu=0.00 dft_energy_ev_per_atom=-5.427 formation_energy_uncorrected_kj_per_mol_fu=608 pbc="T T T"
Ni 0.000 0.000 2.288
Ni 0.000 2.288 0.000
Ni 2.288 0.000 0.000
Te 2.288 2.288 2.288
W 0.000 0.000 0.000

=====

(11)
8
Lattice="-3.704 3.704 3.095 3.704 -3.704 3.095 3.704 3.704 -3.095" Properties=species:S:1:pos:R:3 comment="Mn2CdBr, optimized geometry, DFT GGA-PBE" sg="I-42d, No. 122" e_above_lowest_polymorph_ev_per_fu=1.20 dft_energy_ev_per_atom=-4.722 formation_energy_uncorrected_kj_per_mol_fu=197 pbc="T T T"
Mn 1.852 1.742 -0.774
Mn 1.963 -1.852 3.869
Mn 1.852 1.963 2.322
Mn 1.742 5.557 0.774
Cd 3.704 0.000 1.548
Cd 0.000 0.000 3.095
Br 0.000 0.000 0.000
Br 0.000 3.704 1.548

=====

(12)
5
Lattice="4.843 0.000 0.000 0.000 4.843 0.000 0.000 0.000 3.266" Properties=species:S:1:pos:R:3 comment="PHPdCl2, optimized geometry, DFT GGA-PBE" sg="P4/mmm, No. 123" e_above_lowest_polymorph_ev_per_fu=0.00 dft_energy_ev_per_atom=-2.976 pbc="T T T"
P 0.000 0.000 0.000
H 0.000 0.000 1.633
Pd 2.421 2.421 0.000
Cl 0.000 2.421 1.633
Cl 2.421 0.000 1.633